YBi2OsF | the Alexandria database | PBE | optimized geometry; volume = 22.20 Å³/atom; SG = P4/mmm; formation energy from raw total energies = 0.0479 eV per atom
1.0
-4.4399 1.4124 2.1528
-1.6285 -3.7865 -0.8744
1.6416 -1.7534 4.5358
F Bi Os Y
1 2 1 1
Cartesian
0.0000 0.0000 0.0000 F
-2.2200 0.7062 1.0764 Bi
0.8208 -0.8767 2.2679 Bi
-0.8142 -1.8932 -0.4372 Os
-2.2134 -2.0637 2.9071 Y

=====

Bi2PF | the Alexandria database | PBE | optimized geometry; volume = 21.09 Å³/atom; SG = Fm-3m; formation energy from raw total energies = -0.4154 eV per atom; E above lowest polymorph = 0.510 eV per formula unit
1.0
1.6094 -2.3409 4.0206
0.4566 2.4396 4.2515
-3.0958 -0.9259 3.7140
Bi F P
2 1 1
Cartesian
-0.2574 -0.2068 2.9965 Bi
-0.7723 -0.6204 8.9896 Bi
0.0000 0.0000 0.0000 F
-0.5149 -0.4136 5.9931 P

=====

BiP3F | the Alexandria database | PBE | optimized geometry; volume = 32.37 Å³/atom; SG = Pm-3m; formation energy from raw total energies = 1.3447 eV per atom; E above lowest polymorph = 3.925 eV per formula unit
1.0
5.4499 0.0000 0.0000
0.0000 5.4499 0.0000
0.0000 0.0000 5.4499
P F Bi
3 1 1
Cartesian
2.7250 0.0000 0.0000 P
0.0000 0.0000 2.7250 P
0.0000 2.7250 0.0000 P
2.7250 2.7250 2.7250 F
0.0000 0.0000 0.0000 Bi